1.
This record from Alexandria via LeMat-Bulk describes an optimized crystal structure of CaLuCdGe. The functional is GGA-PBE.

Cell and atoms, written as extended XYZ:
```
16
Lattice="7.2864 0.0000 0.0000 0.0000 7.2864 0.0000 0.0000 0.0000 7.2864" Properties=species:S:1:pos:R:3 pbc="T T T"
Ca 0.0000 0.0000 0.0000
Ca 0.0000 3.6432 3.6432
Ca 3.6432 0.0000 3.6432
Ca 3.6432 3.6432 0.0000
Lu 0.0000 0.0000 3.6432
Lu 0.0000 3.6432 0.0000
Lu 3.6432 0.0000 0.0000
Lu 3.6432 3.6432 3.6432
Cd 1.8216 1.8216 1.8216
Cd 1.8216 5.4648 5.4648
Cd 5.4648 1.8216 5.4648
Cd 5.4648 5.4648 1.8216
Ge 1.8216 1.8216 5.4648
Ge 1.8216 5.4648 1.8216
Ge 5.4648 1.8216 1.8216
Ge 5.4648 5.4648 5.4648
```

Output
calculated formation energy	-0.41	eV per atom
magnetization	0.00	μB per cell

=====

2.
This record from Alexandria via LeMat-Bulk describes an optimized crystal structure of CaMnCd2Ge. The functional is GGA-PBE.

Cell and atoms, written as extended XYZ:
```
5
Lattice="5.1538 0.0000 0.0000 0.0000 5.1538 0.0000 0.0000 0.0000 5.6591" Properties=species:S:1:pos:R:3 pbc="T T T"
Ca 0.0000 0.0000 0.0000
Mn 2.5769 2.5769 0.0000
Cd 0.0000 2.5769 2.8296
Cd 2.5769 0.0000 2.8296
Ge 0.0000 0.0000 2.8296
```

Output
calculated formation energy	0.50	eV per atom
magnetization	4.44	μB per cell

=====

3.
This record from Alexandria via LeMat-Bulk describes an optimized crystal structure of NaCaCdGe2. The functional is GGA-PBE.

Cell and atoms, written as extended XYZ:
```
5
Lattice="5.4626 0.0000 0.0000 0.0000 5.4626 0.0000 0.0000 0.0000 5.6168" Properties=species:S:1:pos:R:3 pbc="T T T"
Na 0.0000 0.0000 0.0000
Ca 0.0000 0.0000 2.8084
Cd 2.7313 2.7313 0.0000
Ge 0.0000 2.7313 2.8084
Ge 2.7313 0.0000 2.8084
```

Output
polymorph energy (0 for the lowest one)	2.41	eV/f.u.
calculated formation energy	0.71	eV per atom
magnetization	0.58	μB per cell